No. 1
Computed, not measured: Tm4PdSeS2 after structural relaxation at the GGA-PBE level of DFT.

Lattice parameters (Å, degrees): 6.836 3.854 6.939 90.00 108.48 90.00
Element x y z (fractional)
Tm 0.242 0.000 0.236
Tm 0.246 0.500 0.757
Tm 0.754 0.500 0.243
Tm 0.758 0.000 0.764
Pd 0.000 0.000 0.500
Se 0.500 0.500 0.500
S 0.000 0.500 0.000
S 0.500 0.000 0.000

Summary:
Symmetry   P2/m

No. 2
Computed, not measured: La6CdIr2I3 after structural relaxation at the GGA-PBE level of DFT.

Lattice parameters (Å, degrees): 7.568 7.568 8.646 98.43 98.43 119.98
Element x y z (fractional)
La 0.068 0.435 0.806
La 0.198 0.198 0.192
La 0.435 0.068 0.806
La 0.565 0.932 0.194
La 0.802 0.802 0.808
La 0.932 0.565 0.194
Cd 0.500 0.500 0.000
Ir 0.167 0.833 0.000
Ir 0.833 0.167 0.000
I 0.000 0.000 0.500
I 0.340 0.660 0.500
I 0.660 0.340 0.500

Summary:
Symmetry   C2/m

No. 3
Computed, not measured: AlIn2N after structural relaxation at the GGA-PBE level of DFT.

Lattice parameters (Å, degrees): 6.739 6.739 6.739 90.00 90.00 90.00
Element x y z (fractional)
Al 0.000 0.000 0.000
Al 0.000 0.500 0.500
Al 0.500 0.000 0.500
Al 0.500 0.500 0.000
In 0.250 0.250 0.250
In 0.250 0.250 0.750
In 0.250 0.750 0.250
In 0.250 0.750 0.750
In 0.750 0.250 0.250
In 0.750 0.250 0.750
In 0.750 0.750 0.250
In 0.750 0.750 0.750
N 0.000 0.000 0.500
N 0.000 0.500 0.000
N 0.500 0.000 0.000
N 0.500 0.500 0.500

Summary:
Distance to the lowest polymorph of the same formula   601 meV per atom
Symmetry   Fm-3m

| no. | formation energy from raw total energies (eV/atom) |
| --- | --- |
| 1 | -1.57 |
| 2 | -0.93 |
| 3 | 1.02 |